(1)
VASP calculation (PBE) on an optimized crystal structure of DyHoW.

ΔH_f (0 K): 1.438 eV per atom
Mass density: 10309 kg/m3
SG: F-43m (216)

Unit cell a=6.906 b=6.906 c=6.906 alpha=90.00 beta=90.00 gamma=90.00
Element x y z (fractional)
Dy: 0.000 0.000 0.000
Dy: 0.000 0.500 0.500
Dy: 0.500 0.000 0.500
Dy: 0.500 0.500 0.000
Ho: 0.250 0.250 0.750
Ho: 0.250 0.750 0.250
Ho: 0.750 0.250 0.250
Ho: 0.750 0.750 0.750
W: 0.250 0.250 0.250
W: 0.250 0.750 0.750
W: 0.750 0.250 0.750
W: 0.750 0.750 0.250



(2)
VASP calculation (PBE) on an optimized crystal structure of PaHN2.

Total energy: -33.5 eV per formula unit
Mass density: 8416 kg/m3
SG: C2/m (12)

Unit cell a=6.277 b=3.613 c=5.125 alpha=90.00 beta=118.02 gamma=90.00
Element x y z (fractional)
Pa: 0.000 0.000 0.000
Pa: 0.500 0.500 0.000
H: 0.000 0.500 0.500
H: 0.500 0.000 0.500
N: 0.084 0.500 0.787
N: 0.416 0.000 0.213
N: 0.584 0.000 0.787
N: 0.916 0.500 0.213



(3)
VASP calculation (PBE) on an optimized crystal structure of GaCu2Te2S.

Total energy: -22.6 eV per formula unit
Mass density: 5614 kg/m3
SG: Cc (9)

Unit cell a=7.066 b=7.066 c=7.097 alpha=100.45 beta=100.45 gamma=119.87
Element x y z (fractional)
Ga: 0.087 0.913 0.500
Ga: 0.913 0.087 0.000
Cu: 0.225 0.686 0.996
Cu: 0.371 0.503 0.456
Cu: 0.503 0.371 0.956
Cu: 0.686 0.225 0.496
Te: 0.100 0.579 0.610
Te: 0.579 0.100 0.110
Te: 0.744 0.920 0.599
Te: 0.920 0.744 0.099
S: 0.269 0.427 0.113
S: 0.427 0.269 0.613



(4)
VASP calculation (PBE) on an optimized crystal structure of ScIrNO.

Mass density: 8144 kg/m3
Offset from the most stable computed form: 461 meV/atom
SG: Pmc2_1 (26)

Unit cell a=3.630 b=5.974 c=5.024 alpha=90.00 beta=90.00 gamma=90.00
Element x y z (fractional)
Sc: 0.000 0.192 0.000
Sc: 0.000 0.808 0.500
Ir: 0.500 0.411 0.459
Ir: 0.500 0.589 0.959
N: 0.500 0.291 0.817
N: 0.500 0.709 0.317
O: 0.000 0.134 0.389
O: 0.000 0.866 0.889



(5)
VASP calculation (PBE) on an optimized crystal structure of NdErAsO.

Mass density: 6740 kg/m3
Offset from the most stable computed form: 0 meV/atom
SG: Pmc2_1 (26)

Unit cell a=4.338 b=7.456 c=6.130 alpha=90.00 beta=90.00 gamma=90.00
Element x y z (fractional)
Nd: 0.000 0.204 0.000
Nd: 0.000 0.796 0.500
Er: 0.500 0.394 0.588
Er: 0.500 0.606 0.088
As: 0.000 0.184 0.492
As: 0.000 0.816 0.992
O: 0.500 0.339 0.939
O: 0.500 0.661 0.439



(6)
VASP calculation (PBE) on an optimized crystal structure of Zr4PbC2Se.

Total energy: -67.3 eV per formula unit
Mass density: 7888 kg/m3
SG: P-6m2 (187)

Unit cell a=3.448 b=3.448 c=13.805 alpha=90.00 beta=90.00 gamma=120.00
Element x y z (fractional)
Zr: 0.000 0.000 0.142
Zr: 0.000 0.000 0.858
Zr: 0.667 0.333 0.319
Zr: 0.667 0.333 0.681
Pb: 0.000 0.000 0.500
C: 0.333 0.667 0.231
C: 0.333 0.667 0.769
Se: 0.667 0.333 0.000



Q: Among the records above, which one has the lowest mass density?
A: GaCu2Te2S